{"formula": "SrTlCo2Hg", "functional": "PBE", "state": "relaxed", "magmom_total_mub_per_atom": 0.60, "total_energy_ev_per_atom": -2.905, "dos_ef_per_ev_atom": 3.0977, "mass_density_g_cm3": 7.28, "cell": [[5.009, 0.000, 0.000], [0.000, 5.009, 0.000], [0.000, 0.000, 5.546]], "species": ["Sr", "Tl", "Co", "Co", "Hg"], "frac_coords": [[0.000, 0.000, 0.000], [0.500, 0.500, 0.500], [0.000, 0.500, 0.500], [0.500, 0.000, 0.500], [0.500, 0.500, 0.000]]}